The following is a DFT calculation (GGA-PBE) of a relaxed Cr2CuRu crystal.

Computed properties:
energy of formation	0.253	eV per atom
crystal system	trigonal

Cell lengths 8.7456, 8.7456, 8.7456 Å; angles 17.12, 17.12, 17.12 degrees
With the nearest neighbours (Å) after each atom.
Sites, in units of the cell vectors:
1 Cr 0.0000 0.0000 0.0000  9 Cr 2.60-2.63, 3 Cu 2.61
2 Cr 0.2500 0.2500 0.2500  3 Ru 2.53, 9 Cr 2.60-2.63
3 Cu 0.7492 0.7492 0.7492  6 Cu 2.60, 3 Cr 2.61, 3 Ru 2.74
4 Ru 0.5047 0.5047 0.5047  3 Cr 2.53, 6 Ru 2.60, 3 Cu 2.74



The following is a DFT calculation (GGA-PBE) of a relaxed DyThOs crystal.

Computed properties:
energy of formation	-0.220	eV per atom
energy above the most stable polymorph in this dataset	52.9	meV/atom
crystal system	cubic

Cell lengths 4.8710, 4.8710, 4.8710 Å; angles 60.00, 60.00, 60.00 degrees
With the nearest neighbours (Å) after each atom.
Sites, in units of the cell vectors:
1 Dy 0.0000 0.0000 0.0000  4 Os 2.98
2 Th 0.5000 0.5000 0.5000  4 Os 2.98
3 Os 0.2500 0.2500 0.2500  4 Dy 2.98, 4 Th 2.98



The following is a DFT calculation (GGA-PBE) of a relaxed TbPrIrPd crystal.

Computed properties:
energy of formation	-0.768	eV per atom
energy above the most stable polymorph in this dataset	0.0	meV/atom
crystal system	orthorhombic

Cell lengths 4.4675, 5.7340, 5.7340 Å; angles 39.21, 90.00, 90.00 degrees
With the nearest neighbours (Å) after each atom.
Sites, in units of the cell vectors:
1 Tb 0.0000 0.0000 0.0000  4 Ir 2.99, 3 Pd 3.04
2 Pr 0.5000 0.2781 0.2781  3 Ir 2.91-3.15, 4 Pd 3.02
3 Ir 0.5000 0.5475 0.5475  2 Pd 2.90, 3 Pr 2.91-3.15, 4 Tb 2.99
4 Pd 0.0000 0.7183 0.7183  2 Ir 2.90, 4 Pr 3.02, 3 Tb 3.04



What did the third record say?
The following is a DFT calculation (GGA-PBE) of a relaxed TbPrIrPd crystal.

Computed properties:
energy of formation	-0.768	eV per atom
energy above the most stable polymorph in this dataset	0.0	meV/atom
crystal system	orthorhombic

Cell lengths 4.4675, 5.7340, 5.7340 Å; angles 39.21, 90.00, 90.00 degrees
With the nearest neighbours (Å) after each atom.
Sites, in units of the cell vectors:
1 Tb 0.0000 0.0000 0.0000  4 Ir 2.99, 3 Pd 3.04
2 Pr 0.5000 0.2781 0.2781  3 Ir 2.91-3.15, 4 Pd 3.02
3 Ir 0.5000 0.5475 0.5475  2 Pd 2.90, 3 Pr 2.91-3.15, 4 Tb 2.99
4 Pd 0.0000 0.7183 0.7183  2 Ir 2.90, 4 Pr 3.02, 3 Tb 3.04